[1]
YTc2Sb: relaxed, PBE.

abc: 4.550 3.313 5.379
angles: 76.03 90.00 90.00
Fractional positions:
Tc (0.000, 0.949, 0.037)
Sb (0.500, 0.871, 0.760)
Tc (0.500, 0.203, 0.191)
Y (0.000, 0.477, 0.511)

total magnetic moment: 0.0 μB per cell
ΔE_f (raw): 0.0234 eV per atom
total DFT energy (no corrections): -31.225 eV/f.u.

=====

[2]
Np3AlAg3S8: relaxed, PBE.

abc: 7.940 7.938 7.619
angles: 121.50 90.00 120.01
Each line ends with the local moment (μB).
Fractional positions:
Al (0.000, 0.000, 0.500)  0.03
Np (0.500, 0.500, 0.500)  3.71
Np (0.500, 0.000, 0.500)  3.71
Np (0.000, 0.500, 0.500)  3.71
Ag (0.500, 0.500, 0.000)  -0.03
S (0.745, 0.491, 0.736)  -0.10
S (0.774, 0.548, 0.276)  -0.07
S (0.772, 0.998, 0.724)  -0.07
Ag (0.000, 0.500, 0.000)  -0.03
S (0.228, 0.002, 0.276)  -0.07
S (0.226, 0.998, 0.724)  -0.07
S (0.226, 0.452, 0.724)  -0.07
S (0.774, 0.002, 0.276)  -0.07
S (0.255, 0.509, 0.264)  -0.10
Ag (0.000, 0.000, 0.000)  -0.03

total magnetic moment: 11.0 μB per cell
ΔE_f (raw): -0.8472 eV per atom
total DFT energy (no corrections): -96.846 eV/f.u.

=====

[3]
LaPm2Ga2: relaxed, PBE.

abc: 4.334 5.619 12.095
angles: 96.64 90.00 90.00
Fractional positions:
La (0.750, 0.328, 0.765)
Ga (0.750, 0.211, 0.355)
Ga (0.250, 0.366, 0.973)
Pm (0.250, 0.850, 0.888)
Ga (0.250, 0.789, 0.645)
La (0.250, 0.672, 0.235)
Pm (0.750, 0.150, 0.112)
Ga (0.750, 0.634, 0.027)
Pm (0.250, 0.260, 0.534)
Pm (0.750, 0.740, 0.466)

energy of formation: -7.748 kcal/mol of atoms
total magnetic moment: 0.0 μB per cell
ΔE to the lowest computed polymorph: 145 meV per atom
total DFT energy (no corrections): -22.162 eV/f.u.

=====

[4]
NaSc3Cl: relaxed, PBE.

abc: 4.951 4.951 4.951
angles: 90.00 90.00 90.00
Fractional positions:
Sc (0.500, 0.000, 0.000)
Sc (0.000, 0.500, 0.000)
Cl (0.000, 0.000, 0.000)
Sc (0.000, 0.000, 0.500)
Na (0.500, 0.500, 0.500)

total magnetic moment: 0.0 μB per cell
ΔE to the lowest computed polymorph: 0 meV per atom
ΔE_f (raw): -0.1149 eV per atom
total DFT energy (no corrections): -22.735 eV/f.u.

=====

[5]
Rb2ReI: relaxed, PBE.

abc: 13.113 13.113 9.618
angles: 47.03 47.03 90.00
Each line ends with the local moment (μB).
Fractional positions:
Rb (0.820, 0.125, 0.250)  0.01
Re (0.750, 0.250, 0.500)  1.43
I (0.250, 0.750, 0.500)  0.02
I (0.500, 0.500, 0.000)  0.02
Rb (0.875, 0.070, 0.750)  0.01
Rb (0.930, 0.625, 0.250)  0.01
Re (0.000, 0.000, 0.000)  1.43
Rb (0.375, 0.180, 0.750)  0.01

total magnetic moment: 3.5 μB per cell
ΔE to the lowest computed polymorph: 52 meV per atom
ΔE_f (raw): 0.9691 eV per atom
total DFT energy (no corrections): -12.057 eV/f.u.

=====

[6]
Ce3Ge6Ir2Au: relaxed, PBE.

abc: 6.059 6.059 7.878
angles: 90.00 90.00 120.00
Each line ends with the local moment (μB).
Fractional positions:
Ir (0.333, 0.667, 0.006)  -0.02
Ge (0.192, 0.808, 0.279)  0.01
Ir (0.667, 0.333, 0.994)  -0.02
Ge (0.808, 0.192, 0.721)  0.01
Ge (0.808, 0.616, 0.721)  0.01
Ce (0.333, 0.667, 0.663)  0.35
Ge (0.616, 0.808, 0.279)  0.01
Au (0.000, 0.000, 0.500)  0.00
Ge (0.384, 0.192, 0.721)  0.01
Ce (0.000, 0.000, 0.000)  0.27
Ce (0.667, 0.333, 0.337)  0.35
Ge (0.192, 0.384, 0.279)  0.01

energy of formation: -5.346 kcal/mol of atoms
total magnetic moment: 1.1 μB per cell
total DFT energy (no corrections): -69.287 eV/f.u.

=====

[7]
Sc4GaHg: relaxed, PBE.

abc: 4.704 4.704 6.720
angles: 90.00 90.00 90.00
Fractional positions:
Sc (0.001, 0.497, 0.743)
Sc (0.501, 0.997, 0.743)
Sc (0.501, 0.997, 0.253)
Sc (0.001, 0.497, 0.253)
Ga (0.001, 0.997, 0.498)
Hg (0.501, 0.497, 0.998)

energy of formation: -3.748 kcal/mol of atoms
total magnetic moment: 0.0 μB per cell
total DFT energy (no corrections): -29.630 eV/f.u.